Run one
Entry from the Alexandria database: a relaxed structure of CsAcP (PBE-GGA).

Lattice parameters (Å, degrees): 29.137 4.322 4.526 90.00 90.27 90.00
Space group C2/m (No. 12)
One atom of each set of equivalent atoms:
Cs (0.081, 0.000, 0.244) (multiplicity 4)
Ac (0.203, 0.000, 0.749) (multiplicity 4)
P (0.193, 0.500, 0.248) (multiplicity 4)

The calculation puts the calculated volume at 47.498 Å³ per atom. The density of states at the Fermi level is 1.6 states/eV/f.u. As for the total magnetization: 0.00 μB/f.u.

***

Run two
Entry from the Alexandria database: a relaxed structure of CsAcP (PBE-GGA).

Lattice parameters (Å, degrees): 4.6131 4.6131 8.5075 90.00 90.00 120.00
Space group P3m1 (No. 156)
One atom of each set of equivalent atoms:
Cs (0.0000, 0.0000, 0.0000) (multiplicity 1)
Ac (0.3333, 0.6667, 0.5557) (multiplicity 1)
P (0.6667, 0.3333, 0.7014) (multiplicity 1)

The calculation puts the calculated volume at 52.264 Å³ per atom. The density of states at the Fermi level is 1.2 states/eV/f.u. As for the total magnetization: 0.00 μB/f.u.

***

Least stable structure: run two

***

Run one
Entry from the Alexandria database: a relaxed structure of CsAcSb2 (PBE-GGA).

Lattice parameters (Å, degrees): 8.468 8.468 8.468 90.00 90.00 90.00
Space group Fm-3m (No. 225)
One atom of each set of equivalent atoms:
Cs (0.000, 0.000, 0.000) (multiplicity 4)
Ac (0.000, 0.000, 0.500) (multiplicity 4)
Sb (0.250, 0.250, 0.250) (multiplicity 8)

The calculation puts the calculated volume at 37.945 Å³ per atom. The density of states at the Fermi level is 6.2 states/eV/f.u. As for the total magnetization: 0.00 μB/f.u.

***

Run two
Entry from the Alexandria database: a relaxed structure of CsAcSb2 (PBE-GGA).

Lattice parameters (Å, degrees): 5.620 5.620 4.684 90.00 90.00 90.00
Space group P4/mmm (No. 123)
One atom of each set of equivalent atoms:
Cs (0.000, 0.000, 0.000) (multiplicity 1)
Ac (0.500, 0.500, 0.000) (multiplicity 1)
Sb (0.000, 0.500, 0.500) (multiplicity 2)

The calculation puts the calculated volume at 36.983 Å³ per atom. The density of states at the Fermi level is 2.2 states/eV/f.u. As for the total magnetization: 0.00 μB/f.u.

***

Least stable structure: run one